(1)
{
  "formula": "AlTlSe2",
  "functional": "PBE",
  "state": "relaxed",
  "lattice": [[-1.4111, -0.9383, -3.9026], [4.0003, -0.0598, -1.4320], [0.3257, -5.1720, 1.1258]],
  "species": ["Tl", "Se", "Se", "Al"],
  "fractional_positions": [[0.5000, 0.0000, 0.5000], [0.0000, 0.0000, 0.0000], [0.5000, 0.5000, 0.0000], [0.0000, 0.5000, 0.5000]],
  "energy_ev_per_atom": -3.088,
  "crystal_system": "tetragonal",
  "dos_ef_per_ev_cell": 1.3
}



(2)
{
  "formula": "AlTlSe2",
  "functional": "PBE",
  "state": "relaxed",
  "lattice": [[-3.5964, -0.6279, -1.0771], [-0.7185, -1.9047, -3.2163], [-1.4583, -7.5388, 2.5379]],
  "species": ["Se", "Se", "Al", "Tl"],
  "fractional_positions": [[0.2735, 0.2735, 0.1795], [0.0600, 0.0600, 0.8201], [0.6669, 0.6669, 0.9993], [0.4996, 0.4996, 0.5011]],
  "energy_ev_per_atom": -3.942,
  "crystal_system": "trigonal",
  "dos_ef_per_ev_cell": 0.1
}



(3)
{
  "formula": "AlTlSe2",
  "functional": "PBE",
  "state": "relaxed",
  "lattice": [[8.3879, 0.1449, 0.0000], [6.4700, 5.3402, 0.0000], [-7.4290, -2.7425, 2.7690]],
  "species": ["Tl", "Se", "Se", "Al"],
  "fractional_positions": [[0.5000, 0.5000, 0.0000], [0.2500, 0.7500, 0.5000], [0.0000, 0.0000, 0.0000], [0.7500, 0.2500, 0.5000]],
  "energy_ev_per_atom": -3.330,
  "crystal_system": "tetragonal",
  "dos_ef_per_ev_cell": 0.5
}



Question: What is the formula in the first record?
Answer: AlTlSe2